DFT (PBEsol) results for crystalline Mn2BeW at its relaxed geometry.

Cell: 2.6146 2.6146 24.0189 Å, 90.00 90.00 120.00°
Space group R-3m (No. 166, hexagonal axes)
Symmetry-distinct sites (fractional):
Mn: 0.0000 0.0000 0.2414 [6 per cell]
Be: 0.0000 0.0000 0.5000 [3 per cell]
W: 0.0000 0.0000 0.0000 [3 per cell]

spin magnetization: 0.67 μB per atom
calculated total energy: -8.94 eV/atom
ΔH_f (0 K): 0.39 eV/atom
N(E_F): 1.104 states/eV per atom

---

DFT (PBEsol) results for crystalline Mn2BeW at its relaxed geometry.

Cell: 4.9479 8.0441 2.5330 Å, 90.00 113.43 90.00°
Space group C2/m (No. 12)
Symmetry-distinct sites (fractional):
Mn: 0.2500 0.2500 0.0000 [4 per cell]
Be: 0.0000 0.0000 0.5000 [2 per cell]
W: 0.0000 0.5000 0.5000 [2 per cell]

spin magnetization: 0.47 μB per atom
calculated total energy: -9.14 eV/atom
ΔH_f (0 K): 0.19 eV/atom
N(E_F): 0.885 states/eV per atom

---

Copy entry 1 word for word.
DFT (PBEsol) results for crystalline Mn2BeW at its relaxed geometry.

Cell: 2.6146 2.6146 24.0189 Å, 90.00 90.00 120.00°
Space group R-3m (No. 166, hexagonal axes)
Symmetry-distinct sites (fractional):
Mn: 0.0000 0.0000 0.2414 [6 per cell]
Be: 0.0000 0.0000 0.5000 [3 per cell]
W: 0.0000 0.0000 0.0000 [3 per cell]

spin magnetization: 0.67 μB per atom
calculated total energy: -8.94 eV/atom
ΔH_f (0 K): 0.39 eV/atom
N(E_F): 1.104 states/eV per atom

---

What is the spin magnetization in the first record? 0.67 μB per atom